Entry 1:
A geometry-optimized AcPr2Sm2Tm2 structure, computed with PBE.

```
data_AcPr2Sm2Tm2
_cell_length_a 5.197
_cell_length_b 6.365
_cell_length_c 8.166
_cell_angle_alpha 97.58
_cell_angle_beta 90.00
_cell_angle_gamma 114.09
_space_group_name_H-M_alt 'P 1'
_space_group_IT_number 1
_space_group_name_Hall 'P 1'
loop_
_atom_site_label
_atom_site_fract_x
_atom_site_fract_y
_atom_site_fract_z
Sm1 0.574 0.148 0.706
Tm1 0.142 0.284 0.434
Ac1 0.000 0.000 0.000
Sm2 0.426 0.852 0.294
Pr1 0.715 0.430 0.153
Tm2 0.858 0.716 0.566
Pr2 0.285 0.570 0.847
```


Entry 2:
A geometry-optimized AcPrSm3Tm structure, computed with PBE.

```
data_AcPrSm3Tm
_cell_length_a 5.206
_cell_length_b 8.250
_cell_length_c 11.011
_cell_angle_alpha 116.52
_cell_angle_beta 90.00
_cell_angle_gamma 90.00
_space_group_name_H-M_alt 'P 1'
_space_group_IT_number 1
_space_group_name_Hall 'P 1'
loop_
_atom_site_label
_atom_site_fract_x
_atom_site_fract_y
_atom_site_fract_z
Ac1 0.750 0.874 0.706
Ac2 0.250 0.126 0.294
Pr1 0.250 0.622 0.126
Tm1 0.250 0.127 0.625
Sm1 0.750 0.871 0.041
Pr2 0.750 0.378 0.874
Sm2 0.750 0.373 0.546
Sm3 0.750 0.380 0.209
Tm2 0.750 0.873 0.375
Sm4 0.250 0.129 0.959
Sm5 0.250 0.620 0.791
Sm6 0.250 0.627 0.454
```


Entry 3:
A geometry-optimized Ac2PrSm4Tm structure, computed with PBE.

```
data_Ac2PrSm4Tm
_cell_length_a 7.420
_cell_length_b 12.844
_cell_length_c 7.433
_cell_angle_alpha 106.85
_cell_angle_beta 120.09
_cell_angle_gamma 90.09
_space_group_name_H-M_alt 'P 1'
_space_group_IT_number 1
_space_group_name_Hall 'P 1'
loop_
_atom_site_label
_atom_site_fract_x
_atom_site_fract_y
_atom_site_fract_z
Ac1 0.500 0.500 0.000
Sm1 0.249 0.252 0.004
Sm2 0.751 0.748 0.503
Sm3 0.754 0.251 0.002
Sm4 0.246 0.749 0.998
Ac2 0.500 0.000 0.500
Sm5 0.751 0.748 0.996
Sm6 0.249 0.252 0.497
Ac3 0.000 0.000 0.500
Tm1 0.500 0.500 0.500
Sm7 0.752 0.257 0.504
Ac4 0.500 0.000 0.000
Pr1 0.000 0.500 0.500
Sm8 0.248 0.743 0.496
Pr2 0.000 0.500 0.000
Tm2 0.000 0.000 0.000
```


Entry 4:
A geometry-optimized AcPrSm4Tm2 structure, computed with PBE.

```
data_AcPrSm4Tm2
_cell_length_a 5.151
_cell_length_b 6.324
_cell_length_c 9.679
_cell_angle_alpha 89.79
_cell_angle_beta 74.57
_cell_angle_gamma 65.97
_space_group_name_H-M_alt 'P 1'
_space_group_IT_number 1
_space_group_name_Hall 'P 1'
loop_
_atom_site_label
_atom_site_fract_x
_atom_site_fract_y
_atom_site_fract_z
Sm1 0.627 0.624 0.122
Pr1 0.000 0.000 0.000
Sm2 0.877 0.875 0.371
Ac1 0.500 0.500 0.500
Sm3 0.373 0.376 0.878
Sm4 0.123 0.125 0.629
Tm1 0.745 0.756 0.755
Tm2 0.255 0.244 0.245
```


Entry 5:
A geometry-optimized Ac2PrSmTm structure, computed with PBE.

```
data_Ac2PrSmTm
_cell_length_a 6.807
_cell_length_b 8.880
_cell_length_c 6.491
_cell_angle_alpha 90.00
_cell_angle_beta 90.00
_cell_angle_gamma 90.00
_space_group_name_H-M_alt 'P 1'
_space_group_IT_number 1
_space_group_name_Hall 'P 1'
loop_
_atom_site_label
_atom_site_fract_x
_atom_site_fract_y
_atom_site_fract_z
Pr1 0.585 0.000 0.250
Ac1 0.714 0.294 0.750
Sm1 0.186 0.500 0.750
Sm2 0.814 0.500 0.250
Ac2 0.286 0.294 0.250
Tm1 0.000 0.000 0.500
Tm2 0.000 0.000 0.000
Ac3 0.286 0.706 0.250
Pr2 0.415 0.000 0.750
Ac4 0.714 0.706 0.750
```


Entry 6:
A geometry-optimized AcPrSm5Tm2 structure, computed with PBE.

```
data_AcPrSm5Tm2
_cell_length_a 5.594
_cell_length_b 12.323
_cell_length_c 9.521
_cell_angle_alpha 90.00
_cell_angle_beta 90.00
_cell_angle_gamma 103.12
_space_group_name_H-M_alt 'P 1'
_space_group_IT_number 1
_space_group_name_Hall 'P 1'
loop_
_atom_site_label
_atom_site_fract_x
_atom_site_fract_y
_atom_site_fract_z
Pr1 0.765 0.530 0.534
Sm1 0.259 0.518 0.357
Tm1 0.172 0.344 0.669
Sm2 0.525 0.051 0.252
Sm3 0.397 0.794 0.033
Sm4 0.993 0.986 0.033
Ac1 0.398 0.795 0.425
Tm2 0.112 0.224 0.293
Sm5 0.741 0.482 0.857
Pr2 0.235 0.470 0.034
Sm6 0.475 0.949 0.752
Ac2 0.602 0.205 0.925
Sm7 0.007 0.014 0.533
Tm3 0.888 0.776 0.793
Sm8 0.603 0.206 0.533
Tm4 0.828 0.656 0.169
Sm9 0.688 0.376 0.228
Sm10 0.312 0.624 0.728
```


Calculated ΔH_f (0 K) (eV per atom), listed in the same order as above: 0.04, 0.04, 0.04, 0.04, 0.25, 0.15
Calculated E (eV/cell), listed in the same order as above: -31.8, -54.5, -72.1, -36.4, -41.9, -80.1